# 1
TaHgAu | PBE | optimized geometry

Summary:
The value obtained for the calculated formation energy is 0.01 eV/atom. The size of the total moment comes out at 0.000 μB/atom. The value obtained for the density of states at the Fermi level is 0.627 states/eV per atom. The volume comes out at 118.7 Å³/cell. For the excess energy over the best structure of this formula in the dataset, the calculation gives 7 meV per atom.

Unit cell a=2.9213 b=2.9163 c=14.0000 alpha=90.00 beta=95.39 gamma=90.00
With the nearest neighbours (Å) after each atom.
Space group P2_1/m (No. 11)
One atom of each set of equivalent atoms:
1 Ta 0.2153 0.2500 0.4199  4 Au 2.91, 8 Ta 2.92-3.05
2 Hg 0.0517 0.2500 0.0985  6 Hg 2.92-3.11, 4 Au 3.16-3.21
3 Au 0.3515 0.2500 0.7275  4 Ta 2.91, 4 Au 2.92, 4 Hg 3.16-3.21


# 2
TaHgAu2 | PBE | optimized geometry

Summary:
The value obtained for the calculated formation energy is 0.15 eV/atom. The size of the total moment comes out at 0.000 μB/atom. The value obtained for the density of states at the Fermi level is 0.455 states/eV per atom. The volume comes out at 227.3 Å³/cell.

Unit cell a=3.0207 b=3.0207 c=28.7571 alpha=90.00 beta=90.00 gamma=120.00
With the nearest neighbours (Å) after each atom.
Space group R3m (No. 160, hexagonal axes)
One atom of each set of equivalent atoms:
1 Ta 0.0000 0.0000 0.0000  3 Au 2.84, 6 Ta 3.02, 3 Hg 3.06
2 Hg 0.0000 0.0000 0.2461  3 Au 3.00, 6 Hg 3.02, 3 Ta 3.06
3 Au 0.0000 0.0000 0.4945  9 Au 2.96-3.02, 3 Hg 3.00
4 Au 0.0000 0.0000 0.7446  3 Ta 2.84, 9 Au 2.96-3.02


# 3
TaHg3Au | PBE | optimized geometry

Summary:
The value obtained for the calculated formation energy is 1.32 eV/atom. The size of the total moment comes out at 0.000 μB/atom. The value obtained for the density of states at the Fermi level is 1.237 states/eV per atom. The volume comes out at 136.8 Å³/cell. For the excess energy over the best structure of this formula in the dataset, the calculation gives 235 meV per atom.

Unit cell a=5.1531 b=5.1531 c=5.1531 alpha=90.00 beta=90.00 gamma=90.00
With the nearest neighbours (Å) after each atom.
Space group Pm-3m (No. 221)
One atom of each set of equivalent atoms:
1 Ta 0.0000 0.0000 0.0000  12 Hg 3.64
2 Hg 0.0000 0.5000 0.5000  2 Au 2.58
3 Au 0.5000 0.5000 0.5000  6 Hg 2.58


# 4
TaHgAu2 | PBE | optimized geometry

Summary:
The value obtained for the calculated formation energy is 0.18 eV/atom. The size of the total moment comes out at 0.000 μB/atom. The value obtained for the density of states at the Fermi level is 0.592 states/eV per atom. The volume comes out at 75.3 Å³/cell.

Unit cell a=2.9648 b=3.9846 c=6.3776 alpha=90.00 beta=90.00 gamma=90.00
With the nearest neighbours (Å) after each atom.
Space group Pmm2 (No. 25)
One atom of each set of equivalent atoms:
1 Ta 0.0000 0.0000 0.0000  5 Au 2.83-2.97, 2 Ta 2.96, 4 Hg 3.03
2 Hg 0.5000 0.5000 0.7290  2 Hg 2.96, 6 Au 3.00-3.29, 4 Ta 3.03
3 Au 0.0000 0.0000 0.4657  6 Au 2.96, 1 Ta 2.97, 4 Hg 3.00
4 Au 0.5000 0.5000 0.2138  4 Ta 2.83, 6 Au 2.96, 1 Hg 3.09